# GGA-PBE Hf2CdGeH, optimized geometry
data_Hf2CdGeH
_chemical_formula_sum 'Hf2 Cd1 Ge1 H1'
_symmetry_space_group_name_H-M 'P 1'
_symmetry_Int_Tables_number 1
_cell_length_a 5.316
_cell_length_b 5.316
_cell_length_c 4.764
_cell_angle_alpha 90.00
_cell_angle_beta 90.00
_cell_angle_gamma 90.00
loop_
_symmetry_equiv_pos_as_xyz
'x,y,z'
loop_
_atom_site_label
_atom_site_fract_x
_atom_site_fract_y
_atom_site_fract_z
Hf1 0.000 0.500 0.000
Hf2 0.500 0.000 0.000
Cd1 0.000 0.000 0.000
Ge1 0.000 0.000 0.500
H1 0.500 0.500 0.500
# calculated total energy = -3.9849 eV per atom
# Fermi-level density of states = 7.07 states/eV/f.u.
# size of the total moment = 0.000 μB per cell

***

# GGA-PBE NaPa2BeO8, optimized geometry
data_NaPa2BeO8
_chemical_formula_sum 'Na1 Pa2 Be1 O8'
_symmetry_space_group_name_H-M 'P 1'
_symmetry_Int_Tables_number 1
_cell_length_a 4.753
_cell_length_b 4.753
_cell_length_c 8.235
_cell_angle_alpha 90.00
_cell_angle_beta 90.00
_cell_angle_gamma 120.00
loop_
_symmetry_equiv_pos_as_xyz
'x,y,z'
loop_
_atom_site_label
_atom_site_fract_x
_atom_site_fract_y
_atom_site_fract_z
Na1 0.000 0.000 0.000
Pa1 0.333 0.667 0.340
Pa2 0.667 0.333 0.660
Be1 0.000 0.000 0.500
O1 0.166 0.333 0.636
O2 0.166 0.834 0.636
O3 0.333 0.166 0.364
O4 0.333 0.667 0.109
O5 0.667 0.333 0.891
O6 0.667 0.834 0.636
O7 0.834 0.166 0.364
O8 0.834 0.667 0.364
# calculated total energy = -7.6001 eV per atom
# Fermi-level density of states = 3.36 states/eV/f.u.
# size of the total moment = 1.526 μB per cell

***

# GGA-PBE Li2Ag2Mo, optimized geometry
data_Li2Ag2Mo
_chemical_formula_sum 'Li4 Ag4 Mo2'
_symmetry_space_group_name_H-M 'P 1'
_symmetry_Int_Tables_number 1
_cell_length_a 7.660
_cell_length_b 7.660
_cell_length_c 2.673
_cell_angle_alpha 90.00
_cell_angle_beta 90.00
_cell_angle_gamma 90.00
loop_
_symmetry_equiv_pos_as_xyz
'x,y,z'
loop_
_atom_site_label
_atom_site_fract_x
_atom_site_fract_y
_atom_site_fract_z
Li1 0.164 0.336 0.000
Li2 0.336 0.836 0.000
Li3 0.664 0.164 0.000
Li4 0.836 0.664 0.000
Ag1 0.138 0.638 0.500
Ag2 0.362 0.138 0.500
Ag3 0.638 0.862 0.500
Ag4 0.862 0.362 0.500
Mo1 0.000 0.000 0.500
Mo2 0.500 0.500 0.500
# Fermi-level density of states = 4.75 states/eV/f.u.
# offset from the most stable computed form = 0.46 eV per formula unit
# ΔE_f = 347 meV/atom
# size of the total moment = 0.001 μB per cell